1.
Sc2CdHg | PBE-GGA | optimized geometry

Energy of formation from the pure elements   -3.99 kcal/mol of atoms
Mass density   7.1 g cm⁻³
M_tot   0.00 μB/f.u.
Total DFT energy (no corrections)   -3.64 eV/atom
Polymorph energy (0 for the lowest one)   188.1 meV per atom

abc: 3.3984 3.3984 28.2039
angles: 90.00 90.00 120.00
Space group R3m (No. 160, hexagonal axes)
One atom of each set of equivalent atoms:
Sc 0.0000 0.0000 0.0000 x3
Sc 0.0000 0.0000 0.1711 x3
Cd 0.0000 0.0000 0.4186 x3
Hg 0.0000 0.0000 0.5859 x3


2.
Sc2CdHg | PBE-GGA | optimized geometry

Energy of formation from the pure elements   -5.27 kcal/mol of atoms
Mass density   7.5 g cm⁻³
M_tot   0.65 μB/f.u.
Total DFT energy (no corrections)   -3.70 eV/atom
Polymorph energy (0 for the lowest one)   132.7 meV per atom

abc: 3.7055 3.7055 6.5269
angles: 90.00 90.00 90.00
Space group P4mm (No. 99)
One atom of each set of equivalent atoms:
Sc 0.0000 0.0000 0.0000 x1
Sc 0.5000 0.5000 0.2738 x1
Cd 0.0000 0.0000 0.5066 x1
Hg 0.5000 0.5000 0.7732 x1


3.
Sc2Cd2Hg | PBE-GGA | optimized geometry

Energy of formation from the pure elements   -2.35 kcal/mol of atoms
Mass density   7.3 g cm⁻³
M_tot   0.00 μB/f.u.
Total DFT energy (no corrections)   -3.06 eV/atom
Polymorph energy (0 for the lowest one)   121.6 meV per atom

abc: 5.9976 13.9728 5.6007
angles: 90.00 90.00 90.00
Space group Ibam (No. 72)
One atom of each set of equivalent atoms:
Sc 0.1584 0.1799 0.0000 x8
Cd 0.1349 0.3930 0.0000 x8
Hg 0.0000 0.0000 0.2500 x4


4.
Sc4CdHg | PBE-GGA | optimized geometry

Energy of formation from the pure elements   0.94 kcal/mol of atoms
Mass density   5.2 g cm⁻³
M_tot   0.00 μB/f.u.
Total DFT energy (no corrections)   -4.38 eV/atom
Polymorph energy (0 for the lowest one)   270.8 meV per atom

abc: 4.8022 4.8022 23.6404
angles: 90.00 90.00 120.00
Space group R-3m (No. 166, hexagonal axes)
One atom of each set of equivalent atoms:
Sc 0.0000 0.0000 0.1237 x6
Sc 0.0000 0.0000 0.3742 x6
Cd 0.0000 0.0000 0.5000 x3
Hg 0.0000 0.0000 0.0000 x3


5.
ScCd6Hg8 | PBE-GGA | optimized geometry

Energy of formation from the pure elements   -0.34 kcal/mol of atoms
Mass density   10.1 g cm⁻³
M_tot   0.00 μB/f.u.
Total DFT energy (no corrections)   -0.96 eV/atom
Polymorph energy (0 for the lowest one)   0.0 meV per atom

abc: 9.9714 9.9714 13.3556
angles: 90.00 90.00 120.00
Space group R-3 (No. 148, hexagonal axes)
One atom of each set of equivalent atoms:
Sc 0.0000 0.0000 0.0000 x3
Cd 0.0533 0.8450 0.4077 x18
Hg 0.0000 0.0000 0.2215 x6
Hg 0.0241 0.7461 0.9118 x18


6.
Sc2CdHg | PBE-GGA | optimized geometry

Energy of formation from the pure elements   -8.29 kcal/mol of atoms
Mass density   7.6 g cm⁻³
M_tot   0.00 μB/f.u.
Total DFT energy (no corrections)   -3.83 eV/atom
Polymorph energy (0 for the lowest one)   1.7 meV per atom

abc: 7.0545 7.0545 7.0545
angles: 90.00 90.00 90.00
Space group Fm-3m (No. 225)
One atom of each set of equivalent atoms:
Sc 0.2500 0.2500 0.2500 x8
Cd 0.0000 0.0000 0.0000 x4
Hg 0.0000 0.0000 0.5000 x4


7.
Sc3Cd4Hg2 | PBE-GGA | optimized geometry

Energy of formation from the pure elements   -5.97 kcal/mol of atoms
Mass density   8.3 g cm⁻³
M_tot   0.00 μB/f.u.
Total DFT energy (no corrections)   -2.84 eV/atom

abc: 10.5998 4.8662 9.0092
angles: 90.00 121.86 90.00
Space group C2/m (No. 12)
One atom of each set of equivalent atoms:
Sc 0.0000 0.0000 0.0000 x2
Sc 0.1680 0.5000 0.6647 x4
Cd 0.0528 0.0000 0.3874 x4
Cd 0.2226 0.5000 0.0533 x4
Hg 0.1113 0.5000 0.2768 x4


8.
Sc4Cd3Hg2 | PBE-GGA | optimized geometry

Energy of formation from the pure elements   -6.95 kcal/mol of atoms
Mass density   7.7 g cm⁻³
M_tot   0.00 μB/f.u.
Total DFT energy (no corrections)   -3.49 eV/atom

abc: 4.9490 4.9490 9.3347
angles: 90.00 90.00 120.00
Space group P-3m1 (No. 164)
One atom of each set of equivalent atoms:
Sc 0.0000 0.0000 0.1712 x2
Sc 0.3333 0.6667 0.3806 x2
Cd 0.0000 0.0000 0.5000 x1
Cd 0.3333 0.6667 0.0348 x2
Hg 0.3333 0.6667 0.6963 x2


9.
Sc8CdHg2 | PBE-GGA | optimized geometry

Energy of formation from the pure elements   -2.10 kcal/mol of atoms
Mass density   5.5 g cm⁻³
M_tot   0.02 μB/f.u.
Total DFT energy (no corrections)   -4.83 eV/atom

abc: 8.1910 13.8273 5.0892
angles: 90.00 113.59 90.00
Space group C2/m (No. 12)
One atom of each set of equivalent atoms:
Sc 0.0000 0.2179 0.0000 x4
Sc 0.0981 0.5000 0.7995 x4
Sc 0.2116 0.1123 0.6174 x8
Cd 0.0000 0.0000 0.0000 x2
Hg 0.0000 0.3037 0.5000 x4


10.
ScCd2Hg5 | PBE-GGA | optimized geometry

Energy of formation from the pure elements   -1.58 kcal/mol of atoms
Mass density   11.4 g cm⁻³
M_tot   0.01 μB/f.u.
Total DFT energy (no corrections)   -1.28 eV/atom
Polymorph energy (0 for the lowest one)   0.0 meV per atom

abc: 7.2320 7.2320 7.1055
angles: 90.00 90.00 90.00
Space group I4mm (No. 107)
One atom of each set of equivalent atoms:
Sc 0.0000 0.0000 0.0000 x2
Cd 0.0000 0.5000 0.0008 x4
Hg 0.0000 0.0000 0.5013 x2
Hg 0.2497 0.2497 0.2506 x8


11.
Sc2CdHg | PBE-GGA | optimized geometry

Energy of formation from the pure elements   -8.32 kcal/mol of atoms
Mass density   7.6 g cm⁻³
M_tot   0.00 μB/f.u.
Total DFT energy (no corrections)   -3.83 eV/atom
Polymorph energy (0 for the lowest one)   0.5 meV per atom

abc: 3.5367 3.5367 7.0255
angles: 90.00 90.00 90.00
Space group P4/mmm (No. 123)
One atom of each set of equivalent atoms:
Sc 0.0000 0.0000 0.2471 x2
Cd 0.5000 0.5000 0.5000 x1
Hg 0.5000 0.5000 0.0000 x1


12.
Sc2CdHg | PBE-GGA | optimized geometry

Energy of formation from the pure elements   -8.33 kcal/mol of atoms
Mass density   7.6 g cm⁻³
M_tot   0.02 μB/f.u.
Total DFT energy (no corrections)   -3.83 eV/atom
Polymorph energy (0 for the lowest one)   0.0 meV per atom

abc: 3.5776 4.9510 4.9528
angles: 90.00 90.00 90.00
Space group Pmm2 (No. 25)
One atom of each set of equivalent atoms:
Sc 0.0000 0.0000 0.0000 x1
Sc 0.0000 0.5000 0.4994 x1
Cd 0.5000 0.0000 0.5003 x1
Hg 0.5000 0.5000 0.9991 x1


13.
ScCdHg2 | PBE-GGA | optimized geometry

Energy of formation from the pure elements   -1.16 kcal/mol of atoms
Mass density   9.4 g cm⁻³
M_tot   0.00 μB/f.u.
Total DFT energy (no corrections)   -2.01 eV/atom

abc: 7.9134 7.9134 6.2908
angles: 90.00 90.00 90.00
Space group I-42d (No. 122)
One atom of each set of equivalent atoms:
Sc 0.0000 0.0000 0.0000 x4
Cd 0.0000 0.0000 0.5000 x4
Hg 0.2500 0.2500 0.1250 x8


14.
Sc2Cd5Hg12 | PBE-GGA | optimized geometry

Energy of formation from the pure elements   -1.12 kcal/mol of atoms
Mass density   11.0 g cm⁻³
M_tot   0.00 μB/f.u.
Total DFT energy (no corrections)   -1.15 eV/atom

abc: 14.6812 9.5884 6.5858
angles: 90.00 92.25 90.00
Space group C2/m (No. 12)
One atom of each set of equivalent atoms:
Sc 0.0000 0.2339 0.0000 x4
Cd 0.0000 0.5000 0.5000 x2
Cd 0.1672 0.0000 0.8924 x4
Cd 0.2355 0.5000 0.5139 x4
Hg 0.0388 0.0000 0.2899 x4
Hg 0.1073 0.5000 0.0569 x4
Hg 0.1077 0.2561 0.6341 x8
Hg 0.1899 0.2336 0.2063 x8


15.
Sc4Cd5Hg | PBE-GGA | optimized geometry

Energy of formation from the pure elements   -6.39 kcal/mol of atoms
Mass density   7.1 g cm⁻³
M_tot   0.00 μB/f.u.
Total DFT energy (no corrections)   -3.30 eV/atom

abc: 14.9313 4.9270 6.1914
angles: 90.00 105.95 90.00
Space group C2/m (No. 12)
One atom of each set of equivalent atoms:
Sc 0.0959 0.0000 0.3915 x4
Sc 0.1927 0.5000 0.8009 x4
Cd 0.0000 0.5000 0.0000 x2
Cd 0.1044 0.0000 0.9122 x4
Cd 0.2037 0.5000 0.3061 x4
Hg 0.0000 0.5000 0.5000 x2


16.
Sc2Cd3Hg3 | PBE-GGA | optimized geometry

Energy of formation from the pure elements   -5.67 kcal/mol of atoms
Mass density   9.9 g cm⁻³
M_tot   0.00 μB/f.u.
Total DFT energy (no corrections)   -2.29 eV/atom

abc: 4.9481 4.9481 24.3158
angles: 90.00 90.00 120.00
Space group R3m (No. 160, hexagonal axes)
One atom of each set of equivalent atoms:
Sc 0.0000 0.0000 0.0000 x3
Sc 0.0000 0.0000 0.4946 x3
Cd 0.0000 0.0000 0.2472 x3
Cd 0.0000 0.0000 0.7478 x3
Cd 0.0000 0.0000 0.8735 x3
Hg 0.0000 0.0000 0.1244 x3
Hg 0.0000 0.0000 0.3715 x3
Hg 0.0000 0.0000 0.6200 x3


17.
Sc2Cd3Hg2 | PBE-GGA | optimized geometry

Energy of formation from the pure elements   -4.17 kcal/mol of atoms
Mass density   8.8 g cm⁻³
M_tot   0.55 μB/f.u.
Total DFT energy (no corrections)   -2.47 eV/atom

abc: 4.6093 20.8260 3.2525
angles: 90.00 90.00 90.00
Space group Cmmm (No. 65)
One atom of each set of equivalent atoms:
Sc 0.0000 0.1555 0.0000 x4
Cd 0.0000 0.0000 0.0000 x2
Cd 0.0000 0.4289 0.5000 x4
Hg 0.0000 0.2905 0.5000 x4


18.
Sc3Cd2Hg6 | PBE-GGA | optimized geometry

Energy of formation from the pure elements   -1.49 kcal/mol of atoms
Mass density   9.1 g cm⁻³
M_tot   0.00 μB/f.u.
Total DFT energy (no corrections)   -2.12 eV/atom

abc: 4.5642 4.5642 27.4691
angles: 90.00 90.00 90.00
Space group I4/mmm (No. 139)
One atom of each set of equivalent atoms:
Sc 0.0000 0.0000 0.0000 x2
Sc 0.0000 0.0000 0.1382 x4
Cd 0.0000 0.0000 0.3513 x4
Hg 0.0000 0.0000 0.2438 x4
Hg 0.0000 0.5000 0.0684 x8


19.
Sc2Cd3Hg4 | PBE-GGA | optimized geometry

Energy of formation from the pure elements   -4.64 kcal/mol of atoms
Mass density   10.4 g cm⁻³
M_tot   0.00 μB/f.u.
Total DFT energy (no corrections)   -2.05 eV/atom

abc: 8.5481 4.9261 9.3504
angles: 90.00 90.16 90.00
Space group C2/m (No. 12)
One atom of each set of equivalent atoms:
Sc 0.1667 0.0000 0.2102 x4
Cd 0.0000 0.5000 0.0000 x2
Cd 0.1668 0.0000 0.5561 x4
Hg 0.0000 0.5000 0.3287 x4
Hg 0.1666 0.0000 0.8883 x4


20.
Sc2CdHg | PBE-GGA | optimized geometry

Energy of formation from the pure elements   -4.67 kcal/mol of atoms
Mass density   7.6 g cm⁻³
M_tot   0.00 μB/f.u.
Total DFT energy (no corrections)   -3.67 eV/atom
Polymorph energy (0 for the lowest one)   158.7 meV per atom

abc: 4.3008 4.3008 9.5689
angles: 90.00 90.00 90.00
Space group I-4m2 (No. 119)
One atom of each set of equivalent atoms:
Sc 0.0000 0.0000 0.0000 x2
Sc 0.0000 0.5000 0.2500 x2
Cd 0.0000 0.5000 0.7500 x2
Hg 0.0000 0.0000 0.5000 x2


21.
Sc2CdHg2 | PBE-GGA | optimized geometry

Energy of formation from the pure elements   0.78 kcal/mol of atoms
Mass density   8.0 g cm⁻³
M_tot   0.83 μB/f.u.
Total DFT energy (no corrections)   -2.80 eV/atom
Polymorph energy (0 for the lowest one)   356.4 meV per atom

abc: 4.1060 4.1060 14.9335
angles: 90.00 90.00 90.00
Space group I4/mmm (No. 139)
One atom of each set of equivalent atoms:
Sc 0.0000 0.0000 0.0994 x4
Cd 0.0000 0.0000 0.5000 x2
Hg 0.0000 0.5000 0.2500 x4


22.
ScCd2Hg8 | PBE-GGA | optimized geometry

Energy of formation from the pure elements   -0.81 kcal/mol of atoms
Mass density   11.8 g cm⁻³
M_tot   0.00 μB/f.u.
Total DFT energy (no corrections)   -1.00 eV/atom

abc: 5.4131 5.4388 9.1595
angles: 88.83 85.45 78.55
Space group P-1 (No. 2)
One atom of each set of equivalent atoms:
Sc 0.0000 0.0000 0.0000 x1
Cd 0.3561 0.2738 0.5232 x2
Hg 0.1015 0.8095 0.6455 x2
Hg 0.1850 0.6579 0.2741 x2
Hg 0.2595 0.4552 0.9102 x2
Hg 0.4643 0.0883 0.1734 x2


23.
Sc2CdHg2 | PBE-GGA | optimized geometry

Energy of formation from the pure elements   0.51 kcal/mol of atoms
Mass density   7.9 g cm⁻³
M_tot   1.05 μB/f.u.
Total DFT energy (no corrections)   -2.81 eV/atom
Polymorph energy (0 for the lowest one)   344.7 meV per atom

abc: 4.4394 4.4394 12.8128
angles: 90.00 90.00 90.00
Space group I4/mmm (No. 139)
One atom of each set of equivalent atoms:
Sc 0.0000 0.5000 0.2500 x4
Cd 0.0000 0.0000 0.0000 x2
Hg 0.0000 0.0000 0.3942 x4


24.
ScCd2Hg6 | PBE-GGA | optimized geometry

Energy of formation from the pure elements   -1.79 kcal/mol of atoms
Mass density   11.3 g cm⁻³
M_tot   0.00 μB/f.u.
Total DFT energy (no corrections)   -1.19 eV/atom
Polymorph energy (0 for the lowest one)   0.0 meV per atom

abc: 6.9775 14.8724 4.4723
angles: 90.00 110.88 90.00
Space group C2/m (No. 12)
One atom of each set of equivalent atoms:
Sc 0.0000 0.0000 0.0000 x2
Cd 0.0000 0.1690 0.5000 x4
Hg 0.1848 0.3439 0.8195 x8
Hg 0.1848 0.5000 0.3232 x4